# 1
# MoRh meta-GGA SCAN PBEsol geometry
data_MoRh
_symmetry_space_group_name_H-M 'P 1'
_symmetry_Int_Tables_number 1
_symmetry_space_group_name_Hall 'P 1'
_cell_length_a 2.712
_cell_length_b 2.712
_cell_length_c 3.864
_cell_angle_alpha 90.00
_cell_angle_beta 90.00
_cell_angle_gamma 90.00
loop_
_atom_site_label
_atom_site_type_symbol
_atom_site_fract_x
_atom_site_fract_y
_atom_site_fract_z
Mo1 Mo 0.000 0.000 0.000
Rh1 Rh 0.500 0.500 0.500
# N(E_F), states/eV/atom: 0.61
# Symmetry: P4/mmm, No. 123
# Final energy, eV/atom: -34.527
# Total magnetic moment, μB/f.u.: 0.000
# DFT formation energy, eV per atom: -0.199

# 2
# Mo3Rh5 meta-GGA SCAN PBEsol geometry
data_Mo3Rh5
_symmetry_space_group_name_H-M 'P 1'
_symmetry_Int_Tables_number 1
_symmetry_space_group_name_Hall 'P 1'
_cell_length_a 3.817
_cell_length_b 5.421
_cell_length_c 5.421
_cell_angle_alpha 90.48
_cell_angle_beta 90.00
_cell_angle_gamma 90.00
loop_
_atom_site_label
_atom_site_type_symbol
_atom_site_fract_x
_atom_site_fract_y
_atom_site_fract_z
Mo1 Mo 0.000 0.500 0.500
Mo2 Mo 0.500 0.249 0.249
Mo3 Mo 0.500 0.751 0.751
Rh1 Rh 0.000 0.000 0.000
Rh2 Rh 0.000 0.000 0.500
Rh3 Rh 0.000 0.500 0.000
Rh4 Rh 0.500 0.747 0.253
Rh5 Rh 0.500 0.253 0.747
# N(E_F), states/eV/atom: 0.72
# Symmetry: Cmmm, No. 65
# Final energy, eV/atom: -34.366
# Total magnetic moment, μB/f.u.: 0.000
# DFT formation energy, eV per atom: -0.177

# 3
# MoRh5 meta-GGA SCAN PBEsol geometry
data_MoRh5
_symmetry_space_group_name_H-M 'P 1'
_symmetry_Int_Tables_number 1
_symmetry_space_group_name_Hall 'P 1'
_cell_length_a 4.305
_cell_length_b 4.690
_cell_length_c 4.690
_cell_angle_alpha 120.00
_cell_angle_beta 90.00
_cell_angle_gamma 90.00
loop_
_atom_site_label
_atom_site_type_symbol
_atom_site_fract_x
_atom_site_fract_y
_atom_site_fract_z
Mo1 Mo 0.500 0.000 0.000
Rh1 Rh 0.000 0.336 0.336
Rh2 Rh 0.000 0.664 0.000
Rh3 Rh 0.000 0.000 0.664
Rh4 Rh 0.500 0.333 0.667
Rh5 Rh 0.500 0.667 0.333
# N(E_F), states/eV/atom: 0.96
# Symmetry: P-62m, No. 189
# Energy relative to the lowest polymorph listed for this composition, meV/atom: 13
# Final energy, eV/atom: -34.127
# Total magnetic moment, μB/f.u.: 0.000
# DFT formation energy, eV per atom: -0.170

# 4
# MoRh meta-GGA SCAN PBEsol geometry
data_MoRh
_symmetry_space_group_name_H-M 'P 1'
_symmetry_Int_Tables_number 1
_symmetry_space_group_name_Hall 'P 1'
_cell_length_a 2.713
_cell_length_b 2.713
_cell_length_c 7.819
_cell_angle_alpha 90.00
_cell_angle_beta 90.00
_cell_angle_gamma 90.00
loop_
_atom_site_label
_atom_site_type_symbol
_atom_site_fract_x
_atom_site_fract_y
_atom_site_fract_z
Mo1 Mo 0.500 0.000 0.138
Mo2 Mo 0.000 0.500 0.862
Rh1 Rh 0.500 0.000 0.627
Rh2 Rh 0.000 0.500 0.373
# N(E_F), states/eV/atom: 0.66
# Symmetry: P4/nmm, No. 129
# Final energy, eV/atom: -34.398
# Total magnetic moment, μB/f.u.: 0.000
# DFT formation energy, eV per atom: -0.070

# 5
# Mo2Rh meta-GGA SCAN PBEsol geometry
data_Mo2Rh
_symmetry_space_group_name_H-M 'P 1'
_symmetry_Int_Tables_number 1
_symmetry_space_group_name_Hall 'P 1'
_cell_length_a 2.685
_cell_length_b 2.685
_cell_length_c 6.390
_cell_angle_alpha 102.13
_cell_angle_beta 102.13
_cell_angle_gamma 90.00
loop_
_atom_site_label
_atom_site_type_symbol
_atom_site_fract_x
_atom_site_fract_y
_atom_site_fract_z
Mo1 Mo 0.659 0.659 0.318
Mo2 Mo 0.341 0.341 0.682
Rh1 Rh 0.000 0.000 0.000
# N(E_F), states/eV/atom: 0.64
# Symmetry: I4/mmm, No. 139
# Final energy, eV/atom: -34.568
# Total magnetic moment, μB/f.u.: 0.000
# DFT formation energy, eV per atom: -0.054

# 6
# Mo3Rh meta-GGA SCAN PBEsol geometry
data_Mo3Rh
_symmetry_space_group_name_H-M 'P 1'
_symmetry_Int_Tables_number 1
_symmetry_space_group_name_Hall 'P 1'
_cell_length_a 2.696
_cell_length_b 4.804
_cell_length_c 4.841
_cell_angle_alpha 98.46
_cell_angle_beta 90.00
_cell_angle_gamma 106.30
loop_
_atom_site_label
_atom_site_type_symbol
_atom_site_fract_x
_atom_site_fract_y
_atom_site_fract_z
Mo1 Mo 0.761 0.523 0.758
Mo2 Mo 0.239 0.477 0.242
Mo3 Mo 0.000 0.000 0.500
Rh1 Rh 0.500 0.000 0.000
# N(E_F), states/eV/atom: 0.88
# Symmetry: C2/m, No. 12
# Final energy, eV/atom: -34.488
# Total magnetic moment, μB/f.u.: 0.000
# DFT formation energy, eV per atom: 0.119

# 7
# MoRu2Rh meta-GGA SCAN PBEsol geometry
data_MoRu2Rh
_symmetry_space_group_name_H-M 'P 1'
_symmetry_Int_Tables_number 1
_symmetry_space_group_name_Hall 'P 1'
_cell_length_a 2.685
_cell_length_b 2.685
_cell_length_c 7.680
_cell_angle_alpha 90.00
_cell_angle_beta 90.00
_cell_angle_gamma 90.00
loop_
_atom_site_label
_atom_site_type_symbol
_atom_site_fract_x
_atom_site_fract_y
_atom_site_fract_z
Mo1 Mo 0.000 0.000 0.504
Rh1 Rh 0.500 0.500 0.752
Ru1 Ru 0.000 0.000 0.007
Ru2 Ru 0.500 0.500 0.238
# N(E_F), states/eV/atom: 0.94
# Symmetry: P4mm, No. 99
# Energy relative to the lowest polymorph listed for this composition, meV/atom: 102
# Final energy, eV/atom: -34.565
# Total magnetic moment, μB/f.u.: 0.000
# DFT formation energy, eV per atom: 0.013

# 8
# MoRu2Rh meta-GGA SCAN PBEsol geometry
data_MoRu2Rh
_symmetry_space_group_name_H-M 'P 1'
_symmetry_Int_Tables_number 1
_symmetry_space_group_name_Hall 'P 1'
_cell_length_a 4.305
_cell_length_b 4.305
_cell_length_c 4.305
_cell_angle_alpha 60.00
_cell_angle_beta 60.00
_cell_angle_gamma 60.00
loop_
_atom_site_label
_atom_site_type_symbol
_atom_site_fract_x
_atom_site_fract_y
_atom_site_fract_z
Mo1 Mo 0.500 0.500 0.500
Rh1 Rh 0.250 0.250 0.250
Ru1 Ru 0.000 0.000 0.000
Ru2 Ru 0.750 0.750 0.750
# N(E_F), states/eV/atom: 1.62
# Symmetry: F-43m, No. 216
# Energy relative to the lowest polymorph listed for this composition, meV/atom: 511
# Final energy, eV/atom: -34.156
# Total magnetic moment, μB/f.u.: 0.012
# DFT formation energy, eV per atom: 0.421